First-principles (PBE) data for a geometry-optimized LaPr2Cu structure, as listed in the Alexandria database.

excess energy over the best structure of this formula in the dataset = 0.264 eV/atom
space-group type = R-3m (166)
spin magnetization = 0.19 μB per cell
volume = 127 Å³ per cell
Fermi-level density of states = 7.27 states/eV/cell
energy of formation = 0.83 eV/f.u.

a = 11.473 Å, b = 11.473 Å, c = 11.473 Å
α = 18.07°, β = 18.07°, γ = 18.07°
Sites, in units of the cell vectors:
La  0.000  0.000  0.000
Pr  0.104  0.104  0.104
Pr  0.896  0.896  0.896
Cu  0.500  0.500  0.500

First-principles (PBE) data for a geometry-optimized La4PrCu2 structure, as listed in the Alexandria database.

space-group type = P2_1/m (11)
spin magnetization = 0.00 μB per cell
volume = 416 Å³ per cell
Fermi-level density of states = 17.43 states/eV/cell
energy of formation = -0.09 eV/f.u.

a = 7.290 Å, b = 6.910 Å, c = 8.722 Å
α = 90.00°, β = 108.85°, γ = 90.00°
Sites, in units of the cell vectors:
La  0.017  0.250  0.396
La  0.214  0.750  0.332
La  0.394  0.014  0.766
La  0.394  0.486  0.766
La  0.606  0.514  0.234
La  0.606  0.986  0.234
La  0.786  0.250  0.668
La  0.983  0.750  0.604
Pr  0.138  0.250  0.038
Pr  0.862  0.750  0.962
Cu  0.273  0.750  0.996
Cu  0.404  0.250  0.408
Cu  0.596  0.750  0.592
Cu  0.727  0.250  0.004

First-principles (PBE) data for a geometry-optimized La4PrCu5 structure, as listed in the Alexandria database.

space-group type = P4/mmm (123)
spin magnetization = 0.00 μB per cell
volume = 243 Å³ per cell
Fermi-level density of states = 8.68 states/eV/cell
energy of formation = -1.32 eV/f.u.

a = 3.630 Å, b = 3.630 Å, c = 18.436 Å
α = 90.00°, β = 90.00°, γ = 90.00°
Sites, in units of the cell vectors:
La  0.000  0.000  0.100
La  0.000  0.000  0.301
La  0.000  0.000  0.699
La  0.000  0.000  0.900
Pr  0.000  0.000  0.500
Cu  0.500  0.500  0.000
Cu  0.500  0.500  0.201
Cu  0.500  0.500  0.403
Cu  0.500  0.500  0.597
Cu  0.500  0.500  0.799

First-principles (PBE) data for a geometry-optimized La5PrCu4 structure, as listed in the Alexandria database.

space-group type = P4/mmm (123)
spin magnetization = 0.00 μB per cell
volume = 268 Å³ per cell
Fermi-level density of states = 10.99 states/eV/cell
energy of formation = -1.05 eV/f.u.

a = 3.661 Å, b = 3.661 Å, c = 20.020 Å
α = 90.00°, β = 90.00°, γ = 90.00°
Sites, in units of the cell vectors:
La  0.000  0.000  0.000
La  0.000  0.000  0.184
La  0.000  0.000  0.363
La  0.000  0.000  0.637
La  0.000  0.000  0.816
Pr  0.500  0.500  0.500
Cu  0.500  0.500  0.091
Cu  0.500  0.500  0.275
Cu  0.500  0.500  0.725
Cu  0.500  0.500  0.909

What is the formula in the third record?
La4PrCu5